Record 1
CuTe3Cl | PBE | relaxed

Summary:
- energy above the most stable polymorph in this dataset (kJ/mol of formula units) = 8
- electronic total energy (eV/atom) = -3.186
- space group = No. 6

Lattice parameters (Å, degrees): 5.4453 7.2351 7.2926 90.00 90.06 90.00
Last column: nearest neighbours and their distance in Å.
Sites, in units of the cell vectors:
Cu1 0.0000 0.0000 0.0000  1 Cl 2.44, 4 Te 2.71-2.73
Cu2 0.4998 0.5000 0.0010  1 Cl 2.44, 4 Te 2.71-2.73
Te1 0.2422 0.2518 0.2070  2 Cu 2.71-2.73, 1 Te 2.79
Te2 0.2422 0.7482 0.2070  2 Cu 2.71-2.73, 1 Te 2.79
Te3 0.3588 0.0000 0.7293  1 Cu 2.78, 2 Te 2.79
Te4 0.7416 0.2481 0.7946  2 Cu 2.71-2.73, 1 Te 2.79
Te5 0.7416 0.7519 0.7946  2 Cu 2.71-2.73, 1 Te 2.79
Te6 0.8595 0.5000 0.2722  1 Cu 2.78, 2 Te 2.79
Cl1 0.1884 0.5000 0.7605  1 Cu 2.44
Cl2 0.6893 0.0000 0.2413  1 Cu 2.44

***

Record 2
CsSmAg2Cl8 | PBE | relaxed

Summary:
- electronic total energy (eV/atom) = -3.338
- space group = No. 82

Lattice parameters (Å, degrees): 9.1065 9.1065 9.1065 135.81 135.81 64.28
Last column: nearest neighbours and their distance in Å.
Sites, in units of the cell vectors:
Cs1 0.0000 0.0000 0.0000  8 Cl 3.39-3.53
Sm1 0.2500 0.7500 0.5000  8 Cl 2.80-2.90
Ag1 0.5000 0.5000 0.0000  4 Cl 2.56
Ag2 0.7500 0.2500 0.5000  4 Cl 2.46
Cl1 0.2920 0.6863 0.1716  1 Ag 2.56
Cl2 0.3137 0.4853 0.6057  1 Ag 2.56
Cl3 0.4041 0.0253 0.0383  1 Ag 2.46
Cl4 0.5147 0.1204 0.8284  1 Ag 2.56
Cl5 0.6342 0.5959 0.6212  1 Ag 2.46
Cl6 0.8796 0.7080 0.3943  1 Ag 2.56
Cl7 0.9747 0.0130 0.3788  1 Ag 2.46
Cl8 0.9870 0.3658 0.9617  1 Ag 2.46

***

Record 3
InNiHg2 | PBE | relaxed

Summary:
- ΔE_f (eV/atom) = 0.2713
- electronic total energy (eV/atom) = -2.010
- space group = No. 123

Lattice parameters (Å, degrees): 4.2677 4.2677 4.3507 90.00 90.00 90.00
Last column: nearest neighbours and their distance in Å.
Sites, in units of the cell vectors:
In1 0.0000 0.0000 0.0000  4 Ni 3.02, 8 Hg 3.05
Ni1 0.5000 0.5000 0.0000  4 In 3.02, 8 Hg 3.05
Hg1 0.0000 0.5000 0.5000  4 Hg 3.02, 4 In 3.05, 4 Ni 3.05
Hg2 0.5000 0.0000 0.5000  4 Hg 3.02, 4 In 3.05, 4 Ni 3.05

***

Record 4
SrCd2Au2 | PBE | relaxed

Summary:
- energy above the most stable polymorph in this dataset (kJ/mol of formula units) = 43
- ΔE_f (eV/atom) = -0.4168
- electronic total energy (eV/atom) = -2.430
- space group = No. 139

Lattice parameters (Å, degrees): 6.1170 6.1170 6.1170 130.22 130.22 73.05
Last column: nearest neighbours and their distance in Å.
Sites, in units of the cell vectors:
Sr1 0.0000 0.0000 0.0000  10 Cd 3.53-3.89, 8 Au 3.56
Cd1 0.3592 0.3592 0.0000  1 Cd 2.77, 4 Au 2.79
Cd2 0.6408 0.6408 0.0000  1 Cd 2.77, 4 Au 2.79
Au1 0.2500 0.7500 0.5000  4 Cd 2.79
Au2 0.7500 0.2500 0.5000  4 Cd 2.79

***

Record 5
Nd14YEr | PBE | relaxed

Summary:
- ΔE_f (eV/atom) = 0.0136
- electronic total energy (eV/atom) = -4.847
- space group = No. 38

Lattice parameters (Å, degrees): 10.3551 7.3323 7.3323 89.98 90.00 90.00
Last column: nearest neighbours and their distance in Å.
Sites, in units of the cell vectors:
Nd1 0.0000 0.0000 0.0000  12 Nd 3.67-3.69
Nd2 0.0000 0.4992 0.4992  12 Nd 3.66-3.68
Nd3 0.0000 0.5002 0.9990  12 Nd 3.66-3.68
Nd4 0.0000 0.9990 0.5002  12 Nd 3.66-3.68
Nd5 0.2520 0.2502 0.2502  10 Nd 3.64-3.68, 1 Er 3.65, 1 Y 3.66
Nd6 0.2521 0.2501 0.7490  1 Er 3.64, 10 Nd 3.65-3.68, 1 Y 3.65
Nd7 0.2521 0.7490 0.2501  1 Er 3.64, 10 Nd 3.65-3.68, 1 Y 3.65
Nd8 0.2522 0.7489 0.7489  1 Er 3.64, 1 Y 3.65, 10 Nd 3.65-3.69
Nd9 0.5000 0.0001 0.4991  8 Nd 3.64-3.65, 2 Er 3.66-3.67, 2 Y 3.67
Nd10 0.5000 0.4991 0.0001  8 Nd 3.64-3.65, 2 Er 3.66-3.67, 2 Y 3.67
Nd11 0.7480 0.2502 0.2502  10 Nd 3.64-3.68, 1 Er 3.65, 1 Y 3.66
Nd12 0.7479 0.2501 0.7490  1 Er 3.64, 10 Nd 3.65-3.68, 1 Y 3.65
Nd13 0.7479 0.7490 0.2501  1 Er 3.64, 10 Nd 3.65-3.68, 1 Y 3.65
Nd14 0.7478 0.7489 0.7489  1 Er 3.64, 1 Y 3.65, 10 Nd 3.65-3.69
Y1 0.5000 0.9992 0.9992  12 Nd 3.65-3.67
Er1 0.5000 0.4999 0.4999  12 Nd 3.64-3.67

***

Record 6
YAlPtRh | PBE | relaxed

Summary:
- ΔE_f (eV/atom) = -0.9132
- electronic total energy (eV/atom) = -6.813
- space group = No. 216

Lattice parameters (Å, degrees): 4.6329 4.6329 4.6329 60.00 60.00 60.00
Last column: nearest neighbours and their distance in Å.
Sites, in units of the cell vectors:
Y1 0.0000 0.0000 0.0000  4 Rh 2.84, 4 Pt 2.84
Al1 0.5000 0.5000 0.5000  4 Pt 2.84, 4 Rh 2.84
Pt1 0.7500 0.7500 0.7500  4 Al 2.84, 4 Y 2.84
Rh1 0.2500 0.2500 0.2500  4 Al 2.84, 4 Y 2.84

***

Record 7
Li2PuAu3 | PBE | relaxed

Summary:
- energy above the most stable polymorph in this dataset (kJ/mol of formula units) = 0
- ΔE_f (eV/atom) = -0.5102
- electronic total energy (eV/atom) = -5.175
- space group = No. 123

Lattice parameters (Å, degrees): 3.2430 3.2430 10.2919 90.00 90.00 90.00
Last column: nearest neighbours and their distance in Å.
Sites, in units of the cell vectors:
Li1 0.0000 0.0000 0.1442  8 Au 2.73-2.74, 1 Li 2.97
Li2 0.0000 0.0000 0.8558  8 Au 2.73-2.74, 1 Li 2.97
Pu1 0.0000 0.0000 0.5000  8 Au 3.15, 4 Pu 3.24
Au1 0.5000 0.5000 0.0000  8 Li 2.73, 2 Au 2.98
Au2 0.5000 0.5000 0.2899  4 Li 2.74, 1 Au 2.98
Au3 0.5000 0.5000 0.7101  4 Li 2.74, 1 Au 2.98

***

Record 8
NpBiPd2 | PBE | relaxed

Summary:
- ΔE_f (eV/atom) = -0.1388
- electronic total energy (eV/atom) = -6.941
- space group = No. 123

Lattice parameters (Å, degrees): 4.7507 4.7507 3.8431 90.00 90.00 90.00
Last column: nearest neighbours and their distance in Å.
Sites, in units of the cell vectors:
Np1 0.0000 0.0000 0.0000  8 Pd 3.06, 4 Bi 3.36
Bi1 0.5000 0.5000 0.0000  8 Pd 3.06, 4 Np 3.36
Pd1 0.0000 0.5000 0.5000  4 Bi 3.06, 4 Np 3.06, 4 Pd 3.36
Pd2 0.5000 0.0000 0.5000  4 Bi 3.06, 4 Np 3.06, 4 Pd 3.36